Here is an optimized crystal structure of Rb2ZrNbPd from the Alexandria database. Energies are from PBE.

Output
formation enthalpy at 0 K = 8.86 eV per formula unit

a b c (Å): 6.7502 6.7502 4.8500
angles (deg): 90.00 90.00 90.00
Fractional positions:
Rb1 0.0000 0.5000 0.0000
Rb2 0.5000 0.0000 0.0000
Zr1 0.0000 0.0000 0.0000
Nb1 0.5000 0.5000 0.5000
Pd1 0.0000 0.0000 0.5000

=====

Here is an optimized crystal structure of Nb2Se5 from the Alexandria database. Energies are from PBE.

Output
energy relative to the elements, uncorrected = -3.10 eV/f.u.

a b c (Å): 6.8926 6.8926 7.7729
angles (deg): 116.36 116.36 31.06
Fractional positions:
Nb1 0.1545 0.1545 0.4630
Nb2 0.8455 0.8455 0.5370
Se1 0.0908 0.0908 0.7663
Se2 0.3517 0.3517 0.7739
Se3 0.5000 0.5000 0.5000
Se4 0.6483 0.6483 0.2261
Se5 0.9092 0.9092 0.2337

=====

Here is an optimized crystal structure of Nd2Be3Si4Ni from the Alexandria database. Energies are from PBE.

Output
energy relative to the elements, uncorrected = -4.96 eV/f.u.

a b c (Å): 3.9720 3.9720 9.7105
angles (deg): 90.00 90.00 90.00
Fractional positions:
Nd1 0.0000 0.5000 0.2487
Nd2 0.5000 0.0000 0.7513
Be1 0.0000 0.0000 0.0000
Be2 0.0000 0.5000 0.6320
Be3 0.5000 0.0000 0.3680
Si1 0.0000 0.0000 0.5000
Si2 0.0000 0.5000 0.8735
Si3 0.5000 0.0000 0.1265
Si4 0.5000 0.5000 0.5000
Ni1 0.5000 0.5000 0.0000

=====

Here is an optimized crystal structure of YbCd2In from the Alexandria database. Energies are from PBE.

Output
formation enthalpy at 0 K = -1.14 eV per formula unit

a b c (Å): 5.1625 5.1625 5.1625
angles (deg): 60.00 60.00 60.00
Fractional positions:
Yb1 0.0000 0.0000 0.0000
Cd1 0.2500 0.2500 0.2500
Cd2 0.7500 0.7500 0.7500
In1 0.5000 0.5000 0.5000

=====

Here is an optimized crystal structure of Dy4Mg5Ag from the Alexandria database. Energies are from PBE.

Output
formation enthalpy at 0 K = -0.91 eV per formula unit

a b c (Å): 3.6807 3.6807 18.7986
angles (deg): 90.00 90.00 90.00
Fractional positions:
Dy1 0.0000 0.0000 0.1054
Dy2 0.0000 0.0000 0.3088
Dy3 0.0000 0.0000 0.6912
Dy4 0.0000 0.0000 0.8946
Mg1 0.5000 0.5000 0.0000
Mg2 0.5000 0.5000 0.2073
Mg3 0.5000 0.5000 0.4196
Mg4 0.5000 0.5000 0.5804
Mg5 0.5000 0.5000 0.7927
Ag1 0.0000 0.0000 0.5000

=====

Here is an optimized crystal structure of InAgBr2 from the Alexandria database. Energies are from PBE.

Output
excess energy over the best structure of this formula in the dataset = 9.1 meV per atom
energy relative to the elements, uncorrected = -1.82 eV/f.u.

a b c (Å): 7.9564 7.9564 7.9564
angles (deg): 31.18 31.18 31.18
Fractional positions:
In1 0.0000 0.0000 0.0000
Ag1 0.8329 0.8329 0.8329
Br1 0.2350 0.2350 0.2350
Br2 0.4296 0.4296 0.4296

=====

Here is an optimized crystal structure of CrAu3I from the Alexandria database. Energies are from PBE.

Output
excess energy over the best structure of this formula in the dataset = 0.0 meV per atom
energy relative to the elements, uncorrected = 5.22 eV/f.u.

a b c (Å): 4.9371 4.9371 4.9371
angles (deg): 90.00 90.00 90.00
Fractional positions:
Cr1 0.0000 0.0000 0.0000
Au1 0.0000 0.0000 0.5000
Au2 0.0000 0.5000 0.0000
Au3 0.5000 0.0000 0.0000
I1 0.5000 0.5000 0.5000

=====

Here is an optimized crystal structure of AcCeTm2Se4 from the Alexandria database. Energies are from PBE.

Output
energy relative to the elements, uncorrected = -13.98 eV/f.u.

a b c (Å): 7.0976 4.0799 7.5205
angles (deg): 90.00 108.22 90.00
Fractional positions:
Ac1 0.0000 0.0000 0.0000
Ce1 0.5000 0.5000 0.0000
Tm1 0.0000 0.5000 0.5000
Tm2 0.5000 0.0000 0.5000
Se1 0.2473 0.0000 0.7252
Se2 0.2657 0.5000 0.2801
Se3 0.7343 0.5000 0.7199
Se4 0.7527 0.0000 0.2748

=====

Here is an optimized crystal structure of LiCeIr4 from the Alexandria database. Energies are from PBE.

Output
formation enthalpy at 0 K = -2.88 eV per formula unit

a b c (Å): 5.2947 5.2947 5.2947
angles (deg): 60.00 60.00 60.00
Fractional positions:
Li1 0.0000 0.0000 0.0000
Ce1 0.2500 0.2500 0.2500
Ir1 0.1234 0.6255 0.6255
Ir2 0.6255 0.1234 0.6255
Ir3 0.6255 0.6255 0.1234
Ir4 0.6255 0.6255 0.6255

=====

Here is an optimized crystal structure of Co2NiMo from the Alexandria database. Energies are from PBE.

Output
excess energy over the best structure of this formula in the dataset = 150.3 meV per atom
formation enthalpy at 0 K = 0.55 eV per formula unit

a b c (Å): 2.9933 2.9933 5.3980
angles (deg): 90.00 90.00 90.00
Fractional positions:
Co1 0.0000 0.0000 0.2268
Co2 0.0000 0.0000 0.7732
Ni1 0.5000 0.5000 0.0000
Mo1 0.5000 0.5000 0.5000

=====

Here is an optimized crystal structure of MgMnCo from the Alexandria database. Energies are from PBE.

Output
excess energy over the best structure of this formula in the dataset = 145.4 meV per atom
formation enthalpy at 0 K = 0.64 eV per formula unit

a b c (Å): 5.7079 5.7079 3.8031
angles (deg): 90.00 90.00 140.78
Fractional positions:
Mg1 0.2494 0.7506 0.7500
Mg2 0.7506 0.2494 0.2500
Mn1 0.4464 0.5536 0.2500
Mn2 0.5536 0.4464 0.7500
Co1 0.0693 0.9307 0.2500
Co2 0.9307 0.0693 0.7500

=====

Here is an optimized crystal structure of SbPN2O4F from the Alexandria database. Energies are from PBE.

Output
energy relative to the elements, uncorrected = -2.35 eV/f.u.

a b c (Å): 10.1080 10.1080 10.1080
angles (deg): 141.93 141.93 54.94
Fractional positions:
Sb1 0.2007 0.2007 0.0000
Sb2 0.7993 0.7993 0.0000
P1 0.2500 0.7500 0.5000
P2 0.7500 0.2500 0.5000
N1 0.1906 0.6694 0.8600
N2 0.3306 0.1906 0.5211
N3 0.6694 0.8094 0.4789
N4 0.8094 0.3306 0.1400
O1 0.1203 0.8398 0.3544
O2 0.1602 0.5146 0.2805
O3 0.2341 0.8797 0.7195
O4 0.4854 0.7659 0.6456
O5 0.5146 0.2341 0.3544
O6 0.7659 0.1203 0.2805
O7 0.8398 0.4854 0.7195
O8 0.8797 0.1602 0.6456
F1 0.0959 0.0959 0.0000
F2 0.9041 0.9041 0.0000

=====

Here is an optimized crystal structure of Re4Hg5 from the Alexandria database. Energies are from PBE.

Output
excess energy over the best structure of this formula in the dataset = 0.0 meV per atom
formation enthalpy at 0 K = 6.06 eV per formula unit

a b c (Å): 6.7312 6.7312 6.7312
angles (deg): 95.25 95.25 144.79
Fractional positions:
Re1 0.0000 0.3624 0.3624
Re2 0.0000 0.6376 0.6376
Re3 0.3624 0.0000 0.3624
Re4 0.6376 0.0000 0.6376
Hg1 0.0000 0.0000 0.0000
Hg2 0.3286 0.3286 0.6572
Hg3 0.3286 0.6714 0.0000
Hg4 0.6714 0.3286 0.0000
Hg5 0.6714 0.6714 0.3428

=====

Here is an optimized crystal structure of Li2CeSc2Sn2 from the Alexandria database. Energies are from PBE.

Output
formation enthalpy at 0 K = -2.93 eV per formula unit

a b c (Å): 8.9440 8.9440 8.9440
angles (deg): 30.68 30.68 30.68
Fractional positions:
Li1 0.0725 0.0725 0.0725
Li2 0.9275 0.9275 0.9275
Ce1 0.5000 0.5000 0.5000
Sc1 0.3667 0.3667 0.3667
Sc2 0.6333 0.6333 0.6333
Sn1 0.2443 0.2443 0.2443
Sn2 0.7557 0.7557 0.7557

=====

Here is an optimized crystal structure of LaMg4Cd from the Alexandria database. Energies are from PBE.

Output
excess energy over the best structure of this formula in the dataset = 103.1 meV per atom
formation enthalpy at 0 K = -0.14 eV per formula unit

a b c (Å): 6.0424 6.0424 6.0424
angles (deg): 60.00 60.00 60.00
Fractional positions:
La1 0.0000 0.0000 0.0000
Mg1 0.1254 0.6249 0.6249
Mg2 0.6249 0.1254 0.6249
Mg3 0.6249 0.6249 0.1254
Mg4 0.6249 0.6249 0.6249
Cd1 0.2500 0.2500 0.2500

=====

Here is an optimized crystal structure of NaAl3Ge from the Alexandria database. Energies are from PBE.

Output
excess energy over the best structure of this formula in the dataset = 0.0 meV per atom
formation enthalpy at 0 K = 2.65 eV per formula unit

a b c (Å): 5.0657 5.0657 5.0657
angles (deg): 90.00 90.00 90.00
Fractional positions:
Na1 0.0000 0.0000 0.0000
Al1 0.0000 0.5000 0.5000
Al2 0.5000 0.0000 0.5000
Al3 0.5000 0.5000 0.0000
Ge1 0.5000 0.5000 0.5000

=====

Here is an optimized crystal structure of ZnMo2Au from the Alexandria database. Energies are from PBE.

Output
formation enthalpy at 0 K = 0.61 eV per formula unit

a b c (Å): 2.7448 4.3318 5.3185
angles (deg): 90.00 90.00 90.00
Fractional positions:
Zn1 0.0000 0.0000 0.0000
Mo1 0.5000 0.5000 0.2387
Mo2 0.5000 0.5000 0.7613
Au1 0.0000 0.0000 0.5000

=====

Here is an optimized crystal structure of MgRhSe2 from the Alexandria database. Energies are from PBE.

Output
energy relative to the elements, uncorrected = -0.82 eV/f.u.

a b c (Å): 3.8393 3.8393 7.0520
angles (deg): 90.00 90.00 122.84
Fractional positions:
Mg1 0.0000 0.0000 0.0000
Rh1 0.0000 0.0000 0.5000
Se1 0.5000 0.5000 0.2664
Se2 0.5000 0.5000 0.7336

=====

Here is an optimized crystal structure of MgHgTe from the Alexandria database. Energies are from PBE.

Output
excess energy over the best structure of this formula in the dataset = 104.8 meV per atom
energy relative to the elements, uncorrected = -0.90 eV/f.u.

a b c (Å): 6.4134 6.4134 5.1561
angles (deg): 100.85 100.85 99.09
Fractional positions:
Mg1 0.1153 0.1153 0.3121
Mg2 0.8847 0.8847 0.6879
Hg1 0.3135 0.6865 0.5000
Hg2 0.6865 0.3135 0.5000
Te1 0.2402 0.2402 0.8733
Te2 0.7598 0.7598 0.1267

=====

Here is an optimized crystal structure of AcPuSiO5 from the Alexandria database. Energies are from PBE.

Output
energy relative to the elements, uncorrected = -24.31 eV/f.u.

a b c (Å): 6.0621 6.0621 7.4884
angles (deg): 100.28 100.28 109.19
Fractional positions:
Ac1 0.1535 0.8465 0.7500
Ac2 0.8465 0.1535 0.2500
Pu1 0.5000 0.5000 0.0000
Pu2 0.5000 0.5000 0.5000
Si1 0.1828 0.8172 0.2500
Si2 0.8172 0.1828 0.7500
O1 0.0655 0.2258 0.9122
O2 0.1583 0.5950 0.3562
O3 0.2258 0.0655 0.4122
O4 0.3939 0.6061 0.7500
O5 0.4050 0.8417 0.1438
O6 0.5950 0.1583 0.8562
O7 0.6061 0.3939 0.2500
O8 0.7742 0.9345 0.5878
O9 0.8417 0.4050 0.6438
O10 0.9345 0.7742 0.0878

=====

Here is an optimized crystal structure of Ba2UH12Pd3 from the Alexandria database. Energies are from PBE.

Output
electronic total energy = -4.191 eV/atom

a b c (Å): 6.4199 6.4199 6.4199
angles (deg): 66.15 66.15 66.15
Fractional positions:
Ba1 0.1153 0.1153 0.1153
Ba2 0.8847 0.8847 0.8847
U1 0.5000 0.5000 0.5000
H1 0.1043 0.6237 0.6237
H2 0.2376 0.2376 0.5926
H3 0.2376 0.5926 0.2376
H4 0.3763 0.3763 0.8957
H5 0.3763 0.8957 0.3763
H6 0.4074 0.7624 0.7624
H7 0.5926 0.2376 0.2376
H8 0.6237 0.1043 0.6237
H9 0.6237 0.6237 0.1043
H10 0.7624 0.4074 0.7624
H11 0.7624 0.7624 0.4074
H12 0.8957 0.3763 0.3763
Pd1 0.0000 0.5000 0.5000
Pd2 0.5000 0.0000 0.5000
Pd3 0.5000 0.5000 0.0000

=====

Here is an optimized crystal structure of RbNdMgTe3 from the Alexandria database. Energies are from PBE.

Output
energy relative to the elements, uncorrected = -7.33 eV/f.u.

a b c (Å): 10.0638 4.6213 10.9406
angles (deg): 90.00 108.15 90.00
Fractional positions:
Rb1 0.2095 0.2500 0.2351
Rb2 0.7905 0.7500 0.7649
Nd1 0.3285 0.7500 0.8649
Nd2 0.6715 0.2500 0.1351
Mg1 0.0837 0.2500 0.6077
Mg2 0.9163 0.7500 0.3923
Te1 0.1077 0.2500 0.8663
Te2 0.2079 0.7500 0.5383
Te3 0.4661 0.7500 0.1640
Te4 0.5339 0.2500 0.8360
Te5 0.7921 0.2500 0.4617
Te6 0.8923 0.7500 0.1337

=====

Here is an optimized crystal structure of Ac2La4PrDy from the Alexandria database. Energies are from PBE.

Output
formation enthalpy at 0 K = 0.22 eV per formula unit

a b c (Å): 6.4746 3.7994 12.5778
angles (deg): 90.00 100.46 90.00
Fractional positions:
Ac1 0.0000 0.0000 0.0000
Ac2 0.0000 0.5000 0.5000
La1 0.2542 0.0000 0.7506
La2 0.2552 0.5000 0.2544
La3 0.7448 0.5000 0.7456
La4 0.7458 0.0000 0.2494
Pr1 0.5000 0.5000 0.0000
Dy1 0.5000 0.0000 0.5000

=====

Here is an optimized crystal structure of AcHfZr2 from the Alexandria database. Energies are from PBE.

Output
excess energy over the best structure of this formula in the dataset = 155.3 meV per atom
formation enthalpy at 0 K = 1.38 eV per formula unit

a b c (Å): 11.6932 11.6932 11.6932
angles (deg): 16.29 16.29 16.29
Fractional positions:
Ac1 0.0000 0.0000 0.0000
Hf1 0.5000 0.5000 0.5000
Zr1 0.0955 0.0955 0.0955
Zr2 0.9045 0.9045 0.9045

=====

Here is an optimized crystal structure of Sc2PaBi from the Alexandria database. Energies are from PBE.

Output
excess energy over the best structure of this formula in the dataset = 0.0 meV per atom
formation enthalpy at 0 K = -0.72 eV per formula unit

a b c (Å): 3.7270 3.7270 7.0161
angles (deg): 90.00 90.00 90.00
Fractional positions:
Sc1 0.0000 0.0000 0.2373
Sc2 0.0000 0.0000 0.7627
Pa1 0.5000 0.5000 0.5000
Bi1 0.5000 0.5000 0.0000